This record from the Alexandria database describes a relaxed structure of ZnAgSn2. The functional is PBE.

Computed properties:
VASP energy ... -2.91 eV/atom
Formation enthalpy at 0 K ... 0.120 eV per atom
Crystal system ... tetragonal

abc: 3.5009 3.5009 7.2911
angles: 90.00 90.00 90.00
With the nearest neighbours (Å) after each atom.
Space group P4/mmm (No. 123)
Unique sites:
Zn: 0.0000 0.0000 0.0000 [1 per cell]  8 Sn 3.07
Ag: 0.0000 0.0000 0.5000 [1 per cell]  8 Sn 3.07
Sn: 0.5000 0.5000 0.2501 [2 per cell]  4 Ag 3.07, 4 Zn 3.07